! PBE-GGA Cs2SbCl6O, relaxed; values from VASP
! ΔE_f (raw) (meV/atom): -993
! Calculated total energy (eV for the cell shown): -31.80
! Total moment (μB/atom): 0.102
&SYSTEM
  ibrav = 0, nat = 10, ntyp = 4
/
ATOMIC_SPECIES
Cs 132.91 Cs.upf
Sb 121.76 Sb.upf
Cl 35.45 Cl.upf
O 16.00 O.upf
CELL_PARAMETERS angstrom
-3.6395 3.6395 5.7904
3.6395 -3.6395 5.7904
3.6395 3.6395 -5.7904
ATOMIC_POSITIONS angstrom
Cs 3.6395 0.0000 2.8952
Cs 0.0000 3.6395 2.8952
Sb 0.0000 0.0000 0.0000
Cl 0.0000 0.0000 2.5383
Cl 1.7779 1.7779 0.0000
Cl 1.8617 -1.8617 5.7904
Cl -1.8617 1.8617 5.7904
Cl 1.8617 1.8617 5.7904
Cl 0.0000 0.0000 9.0424
O 0.0000 0.0000 5.7904